1.
Below is crystalline Re2IrC2 at its relaxed geometry, with properties calculated at the PBE-GGA level.

Lattice parameters (Å, degrees): 6.5712 6.5712 2.7395 90.00 90.00 90.00
Element x y z (fractional)
Re (0.3603, 0.8603, 0.0000)
Re (0.8603, 0.6397, 0.0000)
Re (0.6397, 0.1397, 0.0000)
Re (0.1397, 0.3603, 0.0000)
C (0.1298, 0.6298, 0.5000)
C (0.6298, 0.8702, 0.5000)
C (0.8702, 0.3702, 0.5000)
C (0.3702, 0.1298, 0.5000)
Ir (0.0000, 0.0000, 0.0000)
Ir (0.5000, 0.5000, 0.0000)

Computed properties:
energy	-0.674	Ry per atom
size of the total moment	0.00	μB/cell
excess energy over the best structure of this formula in the dataset	0.520	eV per atom

2.
Below is crystalline Ac6LaTl at its relaxed geometry, with properties calculated at the PBE-GGA level.

Lattice parameters (Å, degrees): 5.4283 5.4284 11.7316 76.62 76.62 90.00
Element x y z (fractional)
Ac (0.7496, 0.7497, 0.5007)
Ac (0.6186, 0.1187, 0.7627)
Ac (0.1187, 0.6187, 0.7627)
Ac (0.3814, 0.8813, 0.2373)
Ac (0.2504, 0.2503, 0.4993)
Ac (0.8813, 0.3813, 0.2373)
La (0.5000, 0.5000, 0.0000)
Tl (0.0000, 0.0000, 0.0000)

Computed properties:
energy	-0.297	Ry per atom
size of the total moment	0.00	μB/cell

3.
Below is crystalline CrBi2PbCl at its relaxed geometry, with properties calculated at the PBE-GGA level.

Lattice parameters (Å, degrees): 5.7960 4.5617 5.7960 90.00 90.00 90.00
Last column: magnetic moment on the atom in μB.
Element x y z (fractional)
Pb (0.5000, 0.5000, 0.5000)  0.03
Cr (0.0000, 0.5000, 0.0000)  3.88
Bi (0.0000, 0.0000, 0.5000)  -0.20
Bi (0.5000, 0.0000, 0.0000)  -0.21
Cl (0.0000, 0.0000, 0.0000)  -0.01

Computed properties:
energy	-0.302	Ry per atom
raw formation energy	474	meV per atom
size of the total moment	3.94	μB/cell

4.
Below is crystalline Pr6NdY2Sc at its relaxed geometry, with properties calculated at the PBE-GGA level.

Lattice parameters (Å, degrees): 8.9022 6.9618 6.7838 120.87 101.19 90.00
Element x y z (fractional)
Pr (0.4017, 0.6294, 0.2588)
Pr (0.1982, 0.0849, 0.6800)
Pr (0.8018, 0.4050, 0.3200)
Pr (0.1982, 0.5950, 0.6800)
Pr (0.8018, 0.9151, 0.3200)
Pr (0.5983, 0.3706, 0.7412)
Nd (0.5000, 0.0000, 0.0000)
Y (0.1605, 0.0944, 0.1889)
Y (0.8395, 0.9056, 0.8111)
Sc (0.0000, 0.5000, 0.0000)

Computed properties:
energy	-0.370	Ry per atom
size of the total moment	0.00	μB/cell

5.
Below is crystalline PrAlAs2O8 at its relaxed geometry, with properties calculated at the PBE-GGA level.

Lattice parameters (Å, degrees): 5.3263 5.3263 6.6803 90.00 90.00 120.00
Element x y z (fractional)
Pr (0.0000, 0.0000, 0.5000)
Al (0.0000, 0.0000, 0.0000)
As (0.3333, 0.6667, 0.7428)
As (0.6667, 0.3333, 0.2572)
O (0.1559, 0.3119, 0.8158)
O (0.1559, 0.8441, 0.8158)
O (0.6881, 0.8441, 0.8158)
O (0.3119, 0.1559, 0.1842)
O (0.6667, 0.3333, 0.5114)
O (0.3333, 0.6667, 0.4886)
O (0.8441, 0.6881, 0.1842)
O (0.8441, 0.1559, 0.1842)

Computed properties:
energy	-0.503	Ry per atom
raw formation energy	-2048	meV per atom
size of the total moment	0.00	μB/cell

6.
Below is crystalline NbReSi3 at its relaxed geometry, with properties calculated at the PBE-GGA level.

Lattice parameters (Å, degrees): 4.6530 4.6530 4.6530 90.00 90.00 90.00
Element x y z (fractional)
Re (0.5000, 0.5000, 0.5000)
Nb (0.0000, 0.0000, 0.0000)
Si (0.0000, 0.5000, 0.0000)
Si (0.0000, 0.0000, 0.5000)
Si (0.5000, 0.0000, 0.0000)

Computed properties:
energy	-0.442	Ry per atom
raw formation energy	1742	meV per atom
size of the total moment	0.00	μB/cell
excess energy over the best structure of this formula in the dataset	0.758	eV per atom